Entry 1:
Eu2DyHo: optimized geometry, GGA-PBE.

**M_tot**: 14.6 μB/f.u.
**Calculated total energy**: -7.259 eV per atom
**Energy relative to the lowest polymorph listed for this composition**: 0.001 eV/atom

Structure (extended XYZ):
```
4
Lattice="-0.434 4.075 0.360 -5.728 -0.518 -1.033 -0.978 -0.610 5.728" Properties=species:S:1:pos:R:3 pbc="T T T"
Eu -0.489 -0.305 2.864
Eu -2.864 -0.259 -0.516
Ho -3.570 1.473 2.528
Dy -0.217 2.037 0.180
```

***

Entry 2:
Eu2DyHo: optimized geometry, GGA-PBE.

**M_tot**: 14.5 μB/f.u.
**Calculated total energy**: -7.260 eV per atom
**Energy relative to the lowest polymorph listed for this composition**: 0.000 eV/atom

Structure (extended XYZ):
```
4
Lattice="5.831 0.000 0.000 2.916 5.050 0.000 2.916 1.683 4.761" Properties=species:S:1:pos:R:3 pbc="T T T"
Eu 2.916 1.683 1.190
Eu 8.747 5.050 3.571
Ho 0.000 0.000 0.000
Dy 5.831 3.367 2.381
```

***

Entry 3:
EuDyHo2: optimized geometry, GGA-PBE.

**M_tot**: 7.9 μB/f.u.
**Calculated total energy**: -5.849 eV per atom
**Energy relative to the lowest polymorph listed for this composition**: 0.098 eV/atom

Structure (extended XYZ):
```
4
Lattice="-2.647 2.682 0.478 -2.253 -3.029 4.526 3.577 2.870 3.702" Properties=species:S:1:pos:R:3 pbc="T T T"
Eu -0.662 1.262 4.353
Ho 1.788 1.435 1.851
Ho -1.127 -1.515 2.263
Dy -1.324 1.341 0.239
```

***

Entry 4:
Eu2DyHo: optimized geometry, GGA-PBE.

**M_tot**: 15.5 μB/f.u.
**Calculated total energy**: -7.191 eV per atom
**Energy relative to the lowest polymorph listed for this composition**: 0.069 eV/atom

Structure (extended XYZ):
```
4
Lattice="-1.733 -3.082 -0.491 0.052 -2.502 2.545 -11.143 3.252 5.931" Properties=species:S:1:pos:R:3 pbc="T T T"
Eu -8.370 1.913 4.556
Eu -4.453 -4.245 3.428
Ho 0.000 0.000 0.000
Dy -6.412 -1.166 3.992
```

***

Entry 5:
EuDy4Ho: optimized geometry, GGA-PBE.

**M_tot**: 7.4 μB/f.u.
**Calculated total energy**: -5.296 eV per atom

Structure (extended XYZ):
```
6
Lattice="6.653 0.000 0.000 3.326 5.762 0.000 3.326 1.921 5.432" Properties=species:S:1:pos:R:3 pbc="T T T"
Eu 3.326 1.921 1.358
Ho 0.000 0.000 0.000
Dy 6.653 3.841 0.651
Dy 6.653 1.894 3.404
Dy 8.339 4.815 3.404
Dy 4.967 4.815 3.404
```

***

Entry 6:
EuDyHo2: optimized geometry, GGA-PBE.

**M_tot**: 8.0 μB/f.u.
**Calculated total energy**: -5.841 eV per atom
**Energy relative to the lowest polymorph listed for this composition**: 0.106 eV/atom

Structure (extended XYZ):
```
4
Lattice="5.720 0.000 0.000 2.860 4.954 0.000 2.860 1.651 4.671" Properties=species:S:1:pos:R:3 pbc="T T T"
Eu 5.720 3.303 2.335
Ho 2.860 1.651 1.168
Ho 8.580 4.954 3.503
Dy 0.000 0.000 0.000
```

***

Entry 7:
EuDyHoIn: optimized geometry, GGA-PBE.

**M_tot**: 7.5 μB/f.u.
**Calculated total energy**: -5.661 eV per atom

Structure (extended XYZ):
```
4
Lattice="-4.694 -2.302 -1.698 -0.229 -2.484 -4.899 -0.430 -5.473 -0.289" Properties=species:S:1:pos:R:3 pbc="T T T"
Eu -4.015 -7.694 -5.165
In -1.338 -2.565 -1.722
Ho 0.000 0.000 0.000
Dy -2.677 -5.129 -3.443
```

***

Entry 8:
LiEuDyHo: optimized geometry, GGA-PBE.

**M_tot**: 7.1 μB/f.u.
**Calculated total energy**: -5.129 eV per atom

Structure (extended XYZ):
```
4
Lattice="5.608 0.000 0.000 2.804 4.856 0.000 2.804 1.619 4.579" Properties=species:S:1:pos:R:3 pbc="T T T"
Eu 8.411 4.856 3.434
Li 0.000 0.000 0.000
Ho 5.608 3.238 2.289
Dy 2.804 1.619 1.145
```